4
Lattice="3.147 0.000 0.000 0.000 3.147 0.000 0.000 0.000 8.397" Properties=species:S:1:pos:R:3 comment="Y2POs (GGA-PBE, relaxed)" e_form_ev_per_fu=-1.05 energy_ev_per_atom=-7.654 crystal_system=tetragonal sg="P4mm, No. 99" pbc="T T T"
Y 0.000 0.000 0.000
Y 1.573 1.573 3.084
P 1.573 1.573 6.347
Os 0.000 0.000 5.244

4
Lattice="-1.687 2.262 5.615 1.687 -2.262 5.615 1.687 2.262 -5.615" Properties=species:S:1:pos:R:3 comment="Y2POs (GGA-PBE, relaxed)" e_form_ev_per_fu=-2.25 energy_ev_per_atom=-7.954 crystal_system=orthorhombic sg="Imm2, No. 44" pbc="T T T"
Y 0.000 0.000 0.000
Y 0.000 2.262 2.604
P 0.000 0.000 4.620
Os 1.687 0.000 2.883

4
Lattice="4.330 -1.622 0.000 4.330 1.622 0.000 -1.272 0.000 4.972" Properties=species:S:1:pos:R:3 comment="YP2Os (GGA-PBE, relaxed)" e_form_ev_per_fu=-1.74 energy_ev_per_atom=-7.562 crystal_system=monoclinic sg="Cm, No. 8" pbc="T T T"
Y 0.000 0.000 0.000
P 3.778 0.000 2.479
P 6.241 0.000 1.320
Os 1.259 0.000 2.941

4
Lattice="3.994 0.000 0.000 0.000 3.953 0.000 -0.171 0.000 4.726" Properties=species:S:1:pos:R:3 comment="YP2Os (GGA-PBE, relaxed)" e_form_ev_per_fu=-2.67 energy_ev_per_atom=-7.796 crystal_system=monoclinic sg="P2/m, No. 10" pbc="T T T"
Y 0.000 0.000 0.000
P 1.708 1.976 3.632
P 2.115 1.976 1.094
Os 1.912 0.000 2.363